(1)
VASP calculation (PBE) on a relaxed Cu2Pt5Rh2 crystal.

Unit cell a=11.590 b=3.914 c=6.126 alpha=90.00 beta=108.53 gamma=90.00
Space group C2/m (No. 12)
Symmetry-distinct sites (fractional):
Cu (0.222, 0.000, 0.334) [4 per cell]
Pt (0.000, 0.000, 0.000) [2 per cell]
Pt (0.061, 0.500, 0.334) [4 per cell]
Pt (0.118, 0.000, 0.665) [4 per cell]
Rh (0.168, 0.500, 0.993) [4 per cell]

Values from the calculation:
D(E_F): 28.3 states/eV per cell
ΔE_f: -0.05 eV/atom

***

(2)
VASP calculation (PBE) on a relaxed TmZnSn2 crystal.

Unit cell a=4.7228 b=4.7228 c=15.0720 alpha=90.00 beta=90.00 gamma=120.00
Space group R-3m (No. 166, hexagonal axes)
Symmetry-distinct sites (fractional):
Tm (0.0000, 0.0000, 0.0000) [3 per cell]
Zn (0.0000, 0.0000, 0.5000) [3 per cell]
Sn (0.0000, 0.0000, 0.2304) [6 per cell]

Values from the calculation:
Energy above the most stable polymorph in this dataset: 0.256 eV/atom
D(E_F): 5.2 states/eV per cell
ΔE_f: -0.15 eV/atom

***

The lowest ΔE_f belongs to which entry?
TmZnSn2